# Na2SrVFe | Alexandria | PBE-GGA | relaxed
data_Na2SrVFe
_cell_length_a 5.871
_cell_length_b 5.871
_cell_length_c 5.548
_cell_angle_alpha 90.00
_cell_angle_beta 90.00
_cell_angle_gamma 90.00
_space_group_name_H-M_alt 'P 4/m m m'
_space_group_IT_number 123
_space_group_name_Hall '-P 4 2'
loop_
_atom_site_label
_atom_site_fract_x
_atom_site_fract_y
_atom_site_fract_z
Na1 0.000 0.500 0.000
Sr1 0.000 0.000 0.000
V1 0.000 0.000 0.500
Fe1 0.500 0.500 0.500
# DFT formation energy: 2.211 eV/atom
# total moment: 4.811 μB per formula unit
# E_tot: -2.169 eV per atom
# ρ: 2087 kg/m3